(1)
First-principles (PBE-GGA) data for a relaxed structure of Na2YP2O6, as listed in Alexandria via LeMat-Bulk. Values from VASP.

Properties
SG ... P-3, No. 147
Theoretical density ... 2.974 Mg/m³
ΔE_f (raw) ... -2.22 eV per atom
Size of the total moment ... 1.00 Bohr magnetons per cell

```
&SYSTEM
  ibrav = 0, nat = 11, ntyp = 4
/
ATOMIC_SPECIES
P 30.97 P.upf
O 16.00 O.upf
Na 22.99 Na.upf
Y 88.91 Y.upf
CELL_PARAMETERS angstrom
-5.1050 -2.4064 0.0637
2.9676 0.4499 4.7798
-2.4771 5.2826 1.0407
ATOMIC_POSITIONS crystal
P 0.3333 0.6667 0.8653
P 0.6667 0.3333 0.1347
O 0.1355 0.7638 0.7646
O 0.3717 0.1355 0.2354
O 0.2362 0.3717 0.7646
O 0.7638 0.6283 0.2354
O 0.8645 0.2362 0.2354
O 0.6283 0.8645 0.7646
Na 0.3333 0.6667 0.3684
Na 0.6667 0.3333 0.6316
Y 0.0000 0.0000 0.0000
```


(2)
First-principles (PBE-GGA) data for a relaxed structure of NaYP4O12, as listed in Alexandria via LeMat-Bulk. Values from VASP.

Properties
SG ... P2_1/c, No. 14
Theoretical density ... 3.000 Mg/m³
ΔE_f (raw) ... -2.44 eV per atom
Size of the total moment ... 0.00 Bohr magnetons per cell

```
&SYSTEM
  ibrav = 0, nat = 72, ntyp = 4
/
ATOMIC_SPECIES
Na 22.99 Na.upf
O 16.00 O.upf
P 30.97 P.upf
Y 88.91 Y.upf
CELL_PARAMETERS angstrom
7.2642 0.0036 0.0000
0.0822 9.8411 0.0000
0.0000 0.0000 13.2501
ATOMIC_POSITIONS crystal
Na 0.5002 0.5618 0.2761
Na 0.0002 0.0618 0.2239
Na 0.4998 0.4382 0.7239
Na 0.9998 0.9382 0.7761
O 0.6330 0.1470 0.3142
O 0.4071 0.7999 0.3348
O 0.5842 0.7026 0.5819
O 0.1722 0.3489 0.6347
O 0.2817 0.7857 0.5125
O 0.3278 0.1511 0.1347
O 0.7147 0.6422 0.9810
O 0.2147 0.1422 0.5190
O 0.7154 0.0939 0.1145
O 0.2183 0.7143 0.0125
O 0.7183 0.2143 0.4875
O 0.0842 0.2026 0.9181
O 0.8670 0.3530 0.8142
O 0.5714 0.3355 0.1250
O 0.7377 0.9123 0.6627
O 0.5929 0.2001 0.6652
O 0.7817 0.2857 0.9875
O 0.3670 0.8530 0.6858
O 0.1330 0.6470 0.1858
O 0.4251 0.1988 0.8853
O 0.7623 0.5877 0.1627
O 0.0714 0.8355 0.3750
O 0.2154 0.5939 0.3855
O 0.9158 0.7974 0.0819
O 0.7846 0.4061 0.6145
O 0.6722 0.8489 0.8653
O 0.7232 0.6056 0.7935
O 0.9071 0.2999 0.1652
O 0.2846 0.9061 0.8855
O 0.2958 0.6023 0.6504
O 0.2377 0.4123 0.8373
O 0.2042 0.8977 0.1504
O 0.4158 0.2974 0.4181
O 0.2853 0.3578 0.0190
O 0.7958 0.1023 0.8496
O 0.2232 0.1056 0.7065
O 0.2768 0.3944 0.2065
O 0.0929 0.7001 0.8348
O 0.8278 0.6511 0.3653
O 0.7768 0.8944 0.2935
O 0.4286 0.6645 0.8750
O 0.5749 0.8012 0.1147
O 0.0749 0.3012 0.3853
O 0.9286 0.1645 0.6250
O 0.7853 0.8578 0.4810
O 0.7042 0.3977 0.3496
O 0.9251 0.6988 0.6147
O 0.2623 0.0877 0.3373
P 0.8744 0.2346 0.8849
P 0.1458 0.1984 0.6268
P 0.2673 0.2939 0.9070
P 0.2490 0.7564 0.8968
P 0.3542 0.3016 0.1268
P 0.7673 0.7939 0.5930
P 0.8542 0.8016 0.3732
P 0.7327 0.7061 0.0930
P 0.6458 0.6984 0.8732
P 0.3744 0.7346 0.6151
P 0.2510 0.7436 0.3968
P 0.2327 0.2061 0.4070
P 0.6256 0.2654 0.3849
P 0.1256 0.7654 0.1151
P 0.7510 0.2436 0.1032
P 0.7490 0.2564 0.6032
Y 0.0117 0.5217 0.7225
Y 0.5117 0.0217 0.7775
Y 0.9883 0.4783 0.2775
Y 0.4883 0.9783 0.2225
```


(3)
First-principles (PBE-GGA) data for a relaxed structure of NaYbP2O7, as listed in Alexandria via LeMat-Bulk. Values from VASP.

Properties
SG ... P2_1/c, No. 14
Theoretical density ... 3.845 Mg/m³
ΔE_f (raw) ... -2.46 eV per atom
Size of the total moment ... 4.27 Bohr magnetons per cell

```
&SYSTEM
  ibrav = 0, nat = 44, ntyp = 4
/
ATOMIC_SPECIES
O 16.00 O.upf
P 30.97 P.upf
Na 22.99 Na.upf
Yb 173.04 Yb.upf
CELL_PARAMETERS angstrom
-1.3808 1.0078 -5.1556
5.8602 -6.5026 -2.8406
-5.2884 -13.1929 -1.1624
ATOMIC_POSITIONS crystal
O 0.2629 0.9870 0.0695
O 0.1292 0.7349 0.9531
O 0.5579 0.6892 0.9009
O 0.2216 0.8288 0.7635
O 0.4943 0.7272 0.6604
O 0.5341 0.2908 0.8517
O 0.1969 0.5295 0.8804
O 0.0057 0.7272 0.1604
O 0.5057 0.2728 0.3396
O 0.0341 0.7092 0.6483
O 0.2784 0.8288 0.2635
O 0.2371 0.9870 0.5695
O 0.7629 0.0130 0.4305
O 0.7371 0.0130 0.9305
O 0.7784 0.1712 0.2365
O 0.9420 0.6892 0.4009
O 0.0580 0.3108 0.5991
O 0.3031 0.5295 0.3804
O 0.6969 0.4705 0.6196
O 0.6292 0.2651 0.5469
O 0.7216 0.1712 0.7365
O 0.4659 0.7092 0.1483
O 0.9943 0.2728 0.8396
O 0.8708 0.2651 0.0469
O 0.8031 0.4705 0.1196
O 0.9659 0.2908 0.3517
O 0.3708 0.7349 0.4531
O 0.4420 0.3108 0.0991
P 0.7491 0.1854 0.8456
P 0.7198 0.3114 0.1193
P 0.2491 0.8146 0.6544
P 0.7802 0.3114 0.6193
P 0.2802 0.6886 0.8807
P 0.2198 0.6886 0.3807
P 0.7509 0.1854 0.3456
P 0.2509 0.8146 0.1544
Na 0.7250 0.5603 0.3046
Na 0.2250 0.4397 0.1954
Na 0.2750 0.4397 0.6954
Na 0.7750 0.5603 0.8046
Yb 0.7372 0.7470 0.5219
Yb 0.7628 0.7470 0.0219
Yb 0.2628 0.2530 0.4781
Yb 0.2372 0.2530 0.9781
```


(4)
First-principles (PBE-GGA) data for a relaxed structure of Na2ZnPO5, as listed in Alexandria via LeMat-Bulk. Values from VASP.

Properties
SG ... P2_1/c, No. 14
Theoretical density ... 3.011 Mg/m³
ΔE_f (raw) ... -1.80 eV per atom
Size of the total moment ... 4.31 Bohr magnetons per cell

```
&SYSTEM
  ibrav = 0, nat = 36, ntyp = 4
/
ATOMIC_SPECIES
Na 22.99 Na.upf
O 16.00 O.upf
Zn 65.41 Zn.upf
P 30.97 P.upf
CELL_PARAMETERS angstrom
-5.0428 7.9883 -3.2447
-3.4062 -3.4744 -3.2602
-6.7337 -2.1856 5.0843
ATOMIC_POSITIONS crystal
Na 0.8359 0.6400 0.6306
Na 0.3359 0.8600 0.3694
Na 0.6641 0.1400 0.6306
Na 0.1641 0.3600 0.3694
Na 0.6482 0.8016 0.3078
Na 0.8518 0.3016 0.3078
Na 0.3518 0.1984 0.6922
Na 0.1482 0.6984 0.6922
O 0.0040 0.2827 0.8335
O 0.9960 0.7173 0.1665
O 0.5616 0.3821 0.7796
O 0.7119 0.9539 0.0353
O 0.8717 0.8749 0.3709
O 0.2881 0.0461 0.9647
O 0.6143 0.7781 0.5812
O 0.1143 0.7219 0.4188
O 0.8857 0.2781 0.5812
O 0.4384 0.6179 0.2204
O 0.6283 0.3749 0.3709
O 0.5040 0.2173 0.1665
O 0.1283 0.1251 0.6291
O 0.0616 0.1179 0.2204
O 0.4960 0.7827 0.8335
O 0.3857 0.2219 0.4188
O 0.9384 0.8821 0.7796
O 0.7881 0.4539 0.0353
O 0.3717 0.6251 0.6291
O 0.2119 0.5461 0.9647
Zn 0.3605 0.7284 0.0063
Zn 0.6395 0.2716 0.9937
Zn 0.8605 0.7716 0.9937
Zn 0.1395 0.2284 0.0063
P 0.5100 0.6440 0.7027
P 0.9900 0.1440 0.7027
P 0.0100 0.8560 0.2973
P 0.4900 0.3560 0.2973
```